(1)
A relaxed Zn5Au crystal, computed with PBEsol.

```
Zn5Au
1.0
9.8129 0.0000 0.0000
0.0000 2.8252 0.0000
-1.4571 0.0000 6.2423
Zn Au
10 2
Direct
0.0000 0.0000 0.0000
0.0512 0.0000 0.6068
0.1615 0.5000 0.3290
0.2198 0.5000 0.9487
0.3859 0.0000 0.2694
0.5000 0.5000 0.0000
0.5512 0.5000 0.6068
0.6615 0.0000 0.3290
0.7198 0.0000 0.9487
0.8859 0.5000 0.2694
0.3281 0.0000 0.6614
0.8281 0.5000 0.6614
```

Properties
- ΔE_f (eV per atom) = -0.10
- electronic total energy (eV/atom) = -2.0696

=====

(2)
A relaxed Zn5Au3 crystal, computed with PBEsol.

```
Zn5Au3
1.0
7.5649 0.0000 0.0000
-3.7825 6.5514 0.0000
0.0000 0.0000 5.0655
Zn Au
10 6
Direct
0.0000 0.2286 0.2500
0.0000 0.7714 0.7500
0.2286 0.0000 0.2500
0.2286 0.2286 0.7500
0.3333 0.6667 0.0000
0.3333 0.6667 0.5000
0.6667 0.3333 0.0000
0.6667 0.3333 0.5000
0.7714 0.0000 0.7500
0.7714 0.7714 0.2500
0.0000 0.3905 0.7500
0.0000 0.6095 0.2500
0.3905 0.0000 0.7500
0.3905 0.3905 0.2500
0.6095 0.0000 0.2500
0.6095 0.6095 0.7500
```

Properties
- ΔE_f (eV per atom) = -0.16
- relative energy among the computed polymorphs (eV per formula unit) = 0.137
- electronic total energy (eV/atom) = -2.6213

=====

(3)
A relaxed ZnAu crystal, computed with PBEsol.

```
ZnAu
1.0
4.9872 0.0000 0.0000
0.0000 4.9872 0.0000
0.0000 0.0000 4.9872
Zn Au
4 4
Direct
0.0957 0.0957 0.0957
0.4043 0.9043 0.5957
0.5957 0.4043 0.9043
0.9043 0.5957 0.4043
0.0994 0.5994 0.9006
0.4006 0.4006 0.4006
0.5994 0.9006 0.0994
0.9006 0.0994 0.5994
```

Properties
- ΔE_f (eV per atom) = -0.23
- electronic total energy (eV/atom) = -2.9822

=====

(4)
A relaxed Zn17Au12 crystal, computed with PBEsol.

```
Zn17Au12
1.0
-4.8725 4.8725 4.8725
4.8725 -4.8725 4.8725
4.8725 4.8725 -4.8725
Zn Au
17 12
Direct
0.0000 0.0000 0.0000
0.0000 0.0000 0.3078
0.0000 0.2976 0.5708
0.0000 0.3078 0.0000
0.0000 0.5708 0.2976
0.2732 0.7024 0.7024
0.2976 0.0000 0.5708
0.2976 0.5708 0.0000
0.3078 0.0000 0.0000
0.4292 0.4292 0.7268
0.4292 0.7268 0.4292
0.5708 0.0000 0.2976
0.5708 0.2976 0.0000
0.6922 0.6922 0.6922
0.7024 0.2732 0.7024
0.7024 0.7024 0.2732
0.7268 0.4292 0.4292
0.0000 0.5964 0.7974
0.0000 0.7974 0.5964
0.2010 0.4036 0.4036
0.2026 0.2026 0.7990
0.2026 0.7990 0.2026
0.4036 0.2010 0.4036
0.4036 0.4036 0.2010
0.5964 0.0000 0.7974
0.5964 0.7974 0.0000
0.7974 0.0000 0.5964
0.7974 0.5964 0.0000
0.7990 0.2026 0.2026
```

Properties
- ΔE_f (eV per atom) = -0.11
- electronic total energy (eV/atom) = -2.6592